[1]
This record from the Open Quantum Materials Database describes crystalline TbCoSn at its relaxed geometry. The functional is GGA-PBE.

a = 4.5265 Å, b = 4.5265 Å, c = 6.9119 Å
α = 90.00°, β = 90.00°, γ = 120.00°
Element x y z (fractional)
Co: 0.6667 0.3333 0.5106
Sn: 0.6667 0.3333 0.9927
Tb: 0.0000 0.0000 0.2466
Co: 0.3333 0.6667 0.0106
Tb: 0.0000 0.0000 0.7466
Sn: 0.3333 0.6667 0.4927

Values from the calculation:
The calculation puts the energy at -34.01 eV per cell.

[2]
This record from the Open Quantum Materials Database describes crystalline RbScZnS3 at its relaxed geometry. The functional is GGA-PBE.

a = 8.8189 Å, b = 8.8189 Å, c = 8.4211 Å
α = 100.15°, β = 100.15°, γ = 25.45°
Element x y z (fractional)
S: 0.6780 0.6780 0.8703
Rb: 0.8506 0.8506 0.4336
S: 0.3220 0.3220 0.1297
S: 0.5000 0.5000 0.5000
Zn: 0.5231 0.5231 0.2297
S: 0.0000 0.0000 0.0000
Sc: 0.8288 0.8288 0.9328
Zn: 0.4769 0.4769 0.7703
S: 0.3404 0.3404 0.7363
Sc: 0.1712 0.1712 0.0672
S: 0.6596 0.6596 0.2637
Rb: 0.1494 0.1494 0.5664

Values from the calculation:
The calculation puts the energy at -56.81 eV per cell.

[3]
This record from the Open Quantum Materials Database describes crystalline HfFeCoPb at its relaxed geometry. The functional is GGA-PBE.

a = 4.5972 Å, b = 4.5972 Å, c = 4.5972 Å
α = 60.00°, β = 60.00°, γ = 60.00°
Element x y z (fractional)
Pb: 0.0000 0.0000 0.0000
Fe: 0.7500 0.7500 0.7500
Hf: 0.2500 0.2500 0.2500
Co: 0.5000 0.5000 0.5000

Values from the calculation:
The calculation puts the excess energy over the best structure of this formula in the dataset at 34.0 kJ per mole of atoms.

[4]
This record from the Open Quantum Materials Database describes crystalline ThZr at its relaxed geometry. The functional is GGA-PBE.

a = 5.8916 Å, b = 6.7122 Å, c = 5.5858 Å
α = 90.00°, β = 90.00°, γ = 90.00°
Element x y z (fractional)
Zr: 0.4686 0.2502 0.0000
Zr: 0.3647 0.4998 0.5000
Zr: 0.9686 0.9999 0.0000
Th: 0.4977 0.7459 0.0000
Th: 0.8357 0.2459 0.5000
Th: 0.3357 0.0041 0.5000
Zr: 0.8647 0.7502 0.5000
Th: 0.9977 0.5041 0.0000

Values from the calculation:
The energy relative to the elements comes out at 7.59 kJ per mole of atoms.

[5]
This record from the Open Quantum Materials Database describes crystalline ZnCdTeO at its relaxed geometry. The functional is GGA-PBE.

a = 7.1554 Å, b = 7.4633 Å, c = 12.9572 Å
α = 90.00°, β = 90.00°, γ = 90.00°
Element x y z (fractional)
Cd: 0.1408 0.4235 0.7630
Te: 0.7442 0.5643 0.5370
Zn: 0.0834 0.6875 0.5742
Zn: 0.9166 0.3125 0.4258
O: 0.3836 0.2430 0.7204
Te: 0.2558 0.4357 0.4630
Zn: 0.0834 0.8125 0.0742
Cd: 0.3592 0.5765 0.2630
Cd: 0.8592 0.9235 0.7370
O: 0.6164 0.7430 0.7796
Te: 0.7442 0.9357 0.0370
O: 0.8836 0.2570 0.2796
Te: 0.7558 0.0643 0.5370
O: 0.1164 0.7570 0.2204
Zn: 0.4166 0.1875 0.5742
O: 0.6164 0.7570 0.2796
Cd: 0.8592 0.5765 0.2370
O: 0.3836 0.2570 0.2204
Te: 0.2442 0.9357 0.4630
Zn: 0.5834 0.8125 0.4258
Cd: 0.1408 0.0765 0.2630
Te: 0.2442 0.5643 0.9630
Zn: 0.5834 0.6875 0.9258
Cd: 0.3592 0.9235 0.7630
Zn: 0.4166 0.3125 0.0742
Te: 0.7558 0.4357 0.0370
Zn: 0.9166 0.1875 0.9258
Cd: 0.6408 0.0765 0.2370
Cd: 0.6408 0.4235 0.7370
O: 0.8836 0.2430 0.7796
O: 0.1164 0.7430 0.7204
Te: 0.2558 0.0643 0.9630

Values from the calculation:
The calculation puts the excess energy over the best structure of this formula in the dataset at 17.6 kJ per mole of atoms.

[6]
This record from the Open Quantum Materials Database describes crystalline ErTm2Ga3CuGe2 at its relaxed geometry. The functional is GGA-PBE.

a = 4.1090 Å, b = 6.9808 Å, c = 6.9808 Å
α = 120.07°, β = 90.00°, γ = 90.00°
Element x y z (fractional)
Tm: 0.0000 0.4003 0.9997
Tm: 0.0000 0.9997 0.4003
Ge: 0.5000 0.6668 0.3324
Ge: 0.5000 0.3324 0.6668
Ga: 0.5000 0.7643 0.0001
Cu: 0.0000 0.0012 0.0012
Er: 0.0000 0.5993 0.5993
Ga: 0.5000 0.0001 0.7643
Ga: 0.5000 0.2358 0.2358

Values from the calculation:
The calculation puts the energy at -41.23 eV per cell.

[7]
This record from the Open Quantum Materials Database describes crystalline TaCd2Te2 at its relaxed geometry. The functional is GGA-PBE.

a = 6.2224 Å, b = 6.2224 Å, c = 12.5723 Å
α = 90.00°, β = 90.00°, γ = 147.50°
Element x y z (fractional)
Ta: 0.0470 0.9530 0.7500
Ta: 0.9530 0.0470 0.2500
Te: 0.6449 0.3551 0.6058
Cd: 0.3722 0.6278 0.8665
Te: 0.6449 0.3551 0.8942
Te: 0.3551 0.6449 0.3942
Cd: 0.6278 0.3722 0.1335
Cd: 0.3722 0.6278 0.6335
Cd: 0.6278 0.3722 0.3665
Te: 0.3551 0.6449 0.1058

Values from the calculation:
The calculation puts the energy at -39.56 eV per cell.

[8]
This record from the Open Quantum Materials Database describes crystalline PrPbC2 at its relaxed geometry. The functional is GGA-PBE.

a = 3.9822 Å, b = 3.9822 Å, c = 11.5572 Å
α = 99.31°, β = 99.31°, γ = 80.15°
Element x y z (fractional)
C: 0.9734 0.7643 0.0996
Pr: 0.3472 0.1382 0.0463
Pr: 0.1382 0.3472 0.5463
C: 0.7643 0.9734 0.5996
Pb: 0.7632 0.6062 0.8314
C: 0.7676 0.5792 0.1258
Pb: 0.6062 0.7632 0.3314
C: 0.5792 0.7676 0.6258

Values from the calculation:
The calculation puts the energy at -51.79 eV per cell.

[9]
This record from the Open Quantum Materials Database describes crystalline Co3Ni10 at its relaxed geometry. The functional is GGA-PBE.

a = 8.3989 Å, b = 8.3989 Å, c = 8.3989 Å
α = 31.42°, β = 31.42°, γ = 31.42°
Element x y z (fractional)
Co: 0.6515 0.6515 0.6515
Ni: 0.5474 0.5474 0.5474
Ni: 0.9101 0.9101 0.4146
Ni: 0.1666 0.1666 0.1666
Ni: 0.4146 0.9101 0.9101
Ni: 0.0899 0.0899 0.5854
Ni: 0.8334 0.8334 0.8334
Ni: 0.5854 0.0899 0.0899
Co: 0.3485 0.3485 0.3485
Ni: 0.9101 0.4146 0.9101
Ni: 0.4526 0.4526 0.4526
Ni: 0.0899 0.5854 0.0899
Co: 0.0000 0.0000 0.0000

Values from the calculation:
The calculation puts the excess energy over the best structure of this formula in the dataset at 2.8 kJ per mole of atoms. The energy relative to the elements comes out at 16.66 kJ per mole of atoms.

[10]
This record from the Open Quantum Materials Database describes crystalline AcZrNp at its relaxed geometry. The functional is GGA-PBE.

a = 5.2396 Å, b = 5.2396 Å, c = 5.2396 Å
α = 60.00°, β = 60.00°, γ = 60.00°
Element x y z (fractional)
Np: 0.2500 0.2500 0.2500
Zr: 0.7500 0.7500 0.7500
Ac: 0.0000 0.0000 0.0000

Values from the calculation:
The calculation puts the excess energy over the best structure of this formula in the dataset at 14.2 kJ per mole of atoms. The energy relative to the elements comes out at 136.15 kJ per mole of atoms.

[11]
This record from the Open Quantum Materials Database describes crystalline Zr4NpSbC2 at its relaxed geometry. The functional is GGA-PBE.

a = 3.3408 Å, b = 3.3408 Å, c = 15.4340 Å
α = 90.00°, β = 90.00°, γ = 120.00°
Element x y z (fractional)
Zr: 0.6667 0.3333 0.1799
Zr: 0.0000 0.0000 0.6531
Sb: 0.6667 0.3333 0.5000
C: 0.3333 0.6667 0.7354
Np: 0.0000 0.0000 0.0000
Zr: 0.6667 0.3333 0.8201
C: 0.3333 0.6667 0.2646
Zr: 0.0000 0.0000 0.3469

Values from the calculation:
The calculation puts the energy at -73.40 eV per cell.

[12]
This record from the Open Quantum Materials Database describes crystalline BaLuTlSe3 at its relaxed geometry. The functional is GGA-PBE.

a = 8.1989 Å, b = 8.1989 Å, c = 12.1960 Å
α = 90.00°, β = 90.00°, γ = 150.34°
Element x y z (fractional)
Se: 0.5005 0.4995 0.7500
Tl: 0.1365 0.8635 0.7500
Se: 0.8820 0.1180 0.5006
Ba: 0.8463 0.1537 0.7500
Se: 0.8820 0.1180 0.9994
Lu: 0.5000 0.5000 0.5000
Se: 0.4995 0.5005 0.2500
Tl: 0.8635 0.1365 0.2500
Se: 0.1180 0.8820 0.0006
Lu: 0.5000 0.5000 0.0000
Ba: 0.1537 0.8463 0.2500
Se: 0.1180 0.8820 0.4994

Values from the calculation:
The calculation puts the energy at -54.82 eV per cell.

Number 3 is which compound?
HfFeCoPb